(1)
The following is a DFT calculation (PBE) of a relaxed structure of AgHg.

Results
Calculated density (Mg/m³): 8.694

The structure in extended XYZ format:
```
4
Lattice="4.939 0.000 0.000 -2.469 4.277 0.000 0.000 0.000 5.579" Properties=species:S:1:pos:R:3 pbc="T T T"
Hg 2.469 1.426 5.219
Hg 0.000 2.851 2.429
Ag 0.000 2.851 5.219
Ag 2.469 1.426 2.430
```

(2)
The following is a DFT calculation (PBE) of a relaxed structure of Ag3Hg.

Results
Calculated density (Mg/m³): 11.272

The structure in extended XYZ format:
```
4
Lattice="-6.506 6.855 2.529 -7.463 4.603 4.340 -5.195 6.422 5.242" Properties=species:S:1:pos:R:3 pbc="T T T"
Ag -9.650 9.004 6.099
Ag -4.791 4.470 3.028
Ag -19.095 17.817 12.068
Hg -14.373 13.411 9.084
```

(3)
The following is a DFT calculation (PBE) of a relaxed structure of Ag3Hg.

Results
Calculated density (Mg/m³): 11.473

The structure in extended XYZ format:
```
4
Lattice="-2.415 -3.080 1.539 -0.238 -1.764 -3.903 3.435 -2.282 0.821" Properties=species:S:1:pos:R:3 pbc="T T T"
Ag 1.884 -2.213 -1.473
Ag 0.286 -0.190 0.068
Ag -1.040 -2.612 -1.114
Hg 0.796 -2.871 1.249
```

(4)
The following is a DFT calculation (PBE) of a relaxed structure of Ag4Hg3.

Results
Calculated density (Mg/m³): 12.145

The structure in extended XYZ format:
```
7
Lattice="11.704 0.099 0.000 10.607 4.947 0.000 -11.156 -2.523 2.485" Properties=species:S:1:pos:R:3 pbc="T T T"
Ag 3.016 0.682 0.000
Ag 9.591 2.169 0.000
Ag 19.295 4.363 0.000
Ag 12.720 2.876 0.000
Hg 0.000 0.000 0.000
Hg 15.772 3.567 0.000
Hg 6.539 1.479 0.000
```

(5)
The following is a DFT calculation (PBE) of a relaxed structure of AgHg4.

Results
Calculated density (Mg/m³): 12.794

The structure in extended XYZ format:
```
5
Lattice="-5.809 -0.302 3.948 3.923 -1.383 5.667 -0.762 1.499 5.253" Properties=species:S:1:pos:R:3 pbc="T T T"
Hg 0.328 -0.595 2.989
Hg -2.214 -1.090 6.626
Hg 0.884 -1.218 6.034
Hg -2.771 -0.468 3.581
Ag 0.000 0.000 0.000
```

(6)
The following is a DFT calculation (PBE) of a relaxed structure of AgHg.

Results
Calculated density (Mg/m³): 12.524

The structure in extended XYZ format:
```
4
Lattice="-2.991 -0.563 -0.947 -1.419 -0.341 4.682 -0.991 5.138 0.074" Properties=species:S:1:pos:R:3 pbc="T T T"
Hg -1.023 1.456 2.364
Hg -2.008 2.373 -0.436
Ag -0.990 5.134 0.074
Ag -3.032 3.834 1.929
```

(7)
The following is a DFT calculation (PBE) of a relaxed structure of Ag3Hg.

Results
Calculated density (Mg/m³): 11.509

The structure in extended XYZ format:
```
4
Lattice="4.218 0.000 0.000 0.000 4.218 0.000 -2.109 -2.109 4.251" Properties=species:S:1:pos:R:3 pbc="T T T"
Ag 2.109 2.109 0.000
Ag 0.000 2.109 2.126
Ag 2.109 0.000 2.126
Hg 0.000 0.000 0.000
```

(8)
The following is a DFT calculation (PBE) of a relaxed structure of Ag2Hg3.

Results
Calculated density (Mg/m³): 11.613

The structure in extended XYZ format:
```
10
Lattice="5.988 0.000 0.000 2.994 5.185 0.000 2.994 1.728 7.530" Properties=species:S:1:pos:R:3 pbc="T T T"
Hg 6.445 1.728 1.882
Hg 4.720 2.196 5.647
Hg 7.256 4.718 1.882
Hg 7.713 2.989 5.647
Hg 5.530 5.185 5.647
Hg 4.262 3.925 1.882
Ag 8.982 5.185 7.116
Ag 2.994 1.728 0.413
Ag 2.994 1.728 3.352
Ag 8.982 5.185 4.178
```

(9)
The following is a DFT calculation (PBE) of a relaxed structure of AgHg.

Results
Calculated density (Mg/m³): 10.662

The structure in extended XYZ format:
```
12
Lattice="8.483 0.000 0.000 -4.241 7.346 0.000 0.000 0.000 4.626" Properties=species:S:1:pos:R:3 pbc="T T T"
Hg 0.000 2.582 3.469
Hg 2.236 1.291 1.156
Hg 2.005 6.055 3.469
Hg 4.241 4.764 1.156
Hg 6.246 1.291 1.156
Hg -2.005 6.055 3.469
Ag 2.844 3.255 3.469
Ag 5.638 3.255 3.469
Ag 4.241 0.835 3.469
Ag 0.000 6.511 1.156
Ag -1.397 4.091 1.156
Ag 1.397 4.091 1.156
```

(10)
The following is a DFT calculation (PBE) of a relaxed structure of Ag5Hg2.

Results
Calculated density (Mg/m³): 11.651

The structure in extended XYZ format:
```
14
Lattice="5.092 0.031 0.007 -2.506 6.704 -0.731 0.013 0.340 7.798" Properties=species:S:1:pos:R:3 pbc="T T T"
Ag 1.686 3.168 6.069
Ag -1.651 4.755 -0.248
Ag 0.871 0.264 5.850
Ag 1.711 4.943 3.657
Ag 3.459 3.015 2.165
Ag 1.728 6.812 1.223
Ag 0.888 2.133 3.417
Ag -0.860 4.061 4.909
Ag 0.913 3.907 1.005
Ag 4.250 2.321 7.321
Hg 3.448 1.263 4.607
Hg 0.928 5.997 6.357
Hg 1.671 1.078 0.717
Hg -0.849 5.813 2.466
```

(11)
The following is a DFT calculation (PBE) of a relaxed structure of AgHg7.

Results
Calculated density (Mg/m³): 13.042

The structure in extended XYZ format:
```
8
Lattice="6.481 0.000 0.000 3.241 5.613 0.000 3.241 1.871 5.292" Properties=species:S:1:pos:R:3 pbc="T T T"
Hg 3.241 3.742 2.646
Hg 4.861 0.935 2.646
Hg 4.861 2.806 0.000
Hg 1.620 2.806 0.000
Hg 6.481 3.742 2.646
Hg 3.241 0.000 0.000
Hg 1.620 0.935 2.646
Ag 0.000 0.000 0.000
```

(12)
The following is a DFT calculation (PBE) of a relaxed structure of AgHg.

Results
Calculated density (Mg/m³): 12.447

The structure in extended XYZ format:
```
4
Lattice="3.143 0.000 0.000 -1.571 2.721 0.000 0.000 0.000 9.623" Properties=species:S:1:pos:R:3 pbc="T T T"
Ag 1.571 0.907 7.217
Ag 0.000 1.814 2.406
Hg 0.000 0.000 0.000
Hg 0.000 0.000 4.812
```

(13)
The following is a DFT calculation (PBE) of a relaxed structure of Ag6Hg.

Results
Calculated density (Mg/m³): 6.478

The structure in extended XYZ format:
```
7
Lattice="-3.366 -4.288 3.649 3.434 -3.231 -4.561 4.104 3.388 3.836" Properties=species:S:1:pos:R:3 pbc="T T T"
Ag 1.919 -3.721 -0.637
Ag 3.786 -1.802 -0.591
Ag 2.254 -0.411 3.561
Ag 3.954 -0.147 1.509
Ag 0.219 -3.985 1.415
Ag 0.386 -2.330 3.514
Hg 0.000 0.000 0.000
```

(14)
The following is a DFT calculation (PBE) of a relaxed structure of AgHg.

Results
Calculated density (Mg/m³): 10.488

The structure in extended XYZ format:
```
12
Lattice="4.828 0.000 0.000 0.000 5.009 0.000 0.000 0.000 12.118" Properties=species:S:1:pos:R:3 pbc="T T T"
Hg 0.000 3.479 6.059
Hg 0.000 3.539 9.151
Hg 2.414 1.470 9.026
Hg 2.414 1.470 3.092
Hg 2.414 1.530 0.000
Hg 0.000 3.539 2.967
Ag 2.414 4.065 1.461
Ag 0.000 3.592 0.000
Ag 0.000 0.944 7.520
Ag 0.000 0.944 4.598
Ag 2.414 1.416 6.059
Ag 2.414 4.065 10.657
```

(15)
The following is a DFT calculation (PBE) of a relaxed structure of Ag3Hg.

Results
Calculated density (Mg/m³): 11.451

The structure in extended XYZ format:
```
4
Lattice="3.004 0.000 0.000 0.000 4.209 0.000 0.000 0.000 6.011" Properties=species:S:1:pos:R:3 pbc="T T T"
Ag 0.000 0.000 3.062
Ag 1.502 2.105 4.509
Ag 0.000 0.000 5.955
Hg 1.502 2.105 1.503
```

(16)
The following is a DFT calculation (PBE) of a relaxed structure of AgHg.

Results
Calculated density (Mg/m³): 10.890

The structure in extended XYZ format:
```
2
Lattice="-3.759 1.203 0.915 -3.087 -0.967 -2.440 -2.759 -2.713 1.202" Properties=species:S:1:pos:R:3 pbc="T T T"
Hg -4.803 -1.238 -0.162
Ag 0.000 0.000 0.000
```

(17)
The following is a DFT calculation (PBE) of a relaxed structure of AgHg.

Results
Calculated density (Mg/m³): 12.516

The structure in extended XYZ format:
```
2
Lattice="3.446 0.000 0.000 0.000 3.446 0.000 0.000 0.000 3.446" Properties=species:S:1:pos:R:3 pbc="T T T"
Ag 0.000 0.000 0.000
Hg 1.723 1.723 1.723
```

(18)
The following is a DFT calculation (PBE) of a relaxed structure of AgHg.

Results
Calculated density (Mg/m³): 12.380

The structure in extended XYZ format:
```
4
Lattice="-2.097 2.231 0.303 -1.805 1.163 -5.431 -3.434 -3.287 0.437" Properties=species:S:1:pos:R:3 pbc="T T T"
Ag -3.599 1.450 -4.333
Ag -3.737 -1.343 -0.357
Hg -3.202 1.425 -1.406
Hg -4.134 -1.318 -3.285
```

(19)
The following is a DFT calculation (PBE) of a relaxed structure of Ag3Hg.

Results
Calculated density (Mg/m³): 11.461

The structure in extended XYZ format:
```
4
Lattice="-5.026 -0.476 1.053 -3.593 -2.606 2.625 9.930 6.608 -0.096" Properties=species:S:1:pos:R:3 pbc="T T T"
Hg 2.483 1.652 -0.024
Ag 7.448 4.956 -0.072
Ag 4.952 3.316 -0.020
Ag 1.324 3.514 3.555
```

(20)
The following is a DFT calculation (PBE) of a relaxed structure of Ag3Hg.

Results
Calculated density (Mg/m³): 11.546

The structure in extended XYZ format:
```
8
Lattice="-2.573 4.152 -0.114 -2.532 -1.709 -5.129 -5.075 -3.143 0.078" Properties=species:S:1:pos:R:3 pbc="T T T"
Ag -6.997 -3.015 -4.247
Ag -5.750 0.725 -0.877
Ag -4.463 1.450 -3.512
Ag -3.182 2.315 -0.917
Ag -5.716 -2.150 -1.652
Ag -4.429 -1.425 -4.287
Hg -3.179 -0.579 -1.712
Hg -7.001 -0.121 -3.452
```

(21)
The following is a DFT calculation (PBE) of a relaxed structure of Ag2Hg3.

Results
Calculated density (Mg/m³): 12.577

The structure in extended XYZ format:
```
50
Lattice="-5.813 2.088 -6.656 -3.251 -7.054 4.705 -6.601 8.662 8.576" Properties=species:S:1:pos:R:3 pbc="T T T"
Hg -3.415 -1.833 2.768
Hg -9.178 2.412 1.777
Hg -6.571 0.532 -5.454
Hg -11.460 2.042 7.428
Hg -7.536 -1.191 6.788
Hg -6.778 4.646 -1.136
Hg -5.656 -0.989 0.833
Hg -8.775 -3.129 -0.626
Hg -7.149 -0.604 -1.845
Hg -5.370 -3.962 7.265
Hg -4.448 3.180 0.476
Hg -11.985 5.485 4.491
Hg -8.694 0.347 4.307
Hg -7.330 -3.305 2.105
Hg -13.803 3.280 5.841
Hg -4.556 -4.436 1.125
Hg -3.426 1.061 4.479
Hg -6.970 6.422 3.729
Hg -12.102 3.343 1.966
Hg -10.079 0.697 -0.635
Hg -1.375 0.386 -1.353
Hg -7.597 3.544 4.671
Hg -7.742 -0.827 10.323
Hg -9.801 4.504 6.433
Hg -5.923 1.419 2.562
Hg -5.324 3.554 6.893
Hg -9.661 7.420 5.097
Hg -8.267 6.617 0.767
Hg -7.936 4.220 8.835
Hg -4.454 0.780 -1.555
Ag -10.882 7.602 2.400
Ag -6.078 1.100 5.578
Ag -7.190 6.233 6.786
Ag -11.144 0.252 2.524
Ag -6.645 2.165 -3.091
Ag -9.227 1.733 9.758
Ag -3.245 -1.835 -0.474
Ag -10.727 2.506 4.475
Ag -2.369 -4.733 3.114
Ag -4.000 1.448 -4.444
Ag -5.857 -3.196 -1.161
Ag -4.671 3.714 4.007
Ag -9.573 5.029 2.906
Ag -8.457 -0.551 1.498
Ag -4.965 -3.867 4.241
Ag -7.162 1.836 -0.194
Ag -2.906 0.627 1.198
Ag -6.267 -1.280 3.853
Ag -8.631 1.761 6.903
Ag -6.861 4.182 1.819
```

(22)
The following is a DFT calculation (PBE) of a relaxed structure of AgHg4.

Results
Calculated density (Mg/m³): 12.367

The structure in extended XYZ format:
```
5
Lattice="-1.130 1.177 -2.825 2.029 -2.531 0.018 -11.679 -6.664 1.897" Properties=species:S:1:pos:R:3 pbc="T T T"
Ag 0.000 0.000 0.000
Hg -4.409 -3.109 -1.415
Hg -1.916 -1.497 -1.741
Hg -6.371 -4.909 0.504
Hg -8.864 -6.521 0.830
```

(23)
The following is a DFT calculation (PBE) of a relaxed structure of Ag8Hg.

Results
Calculated density (Mg/m³): 10.662

The structure in extended XYZ format:
```
9
Lattice="6.633 0.000 -0.001 0.658 6.600 -0.001 5.974 5.408 3.783" Properties=species:S:1:pos:R:3 pbc="T T T"
Ag 4.610 6.206 1.251
Ag 2.667 4.381 -0.001
Ag 3.966 3.590 2.511
Ag 2.009 1.818 1.272
Ag 4.624 2.219 -0.001
Ag 8.655 5.802 2.531
Ag 6.633 8.037 2.531
Ag 6.633 3.971 1.251
Hg 0.000 0.000 0.000
```

(24)
The following is a DFT calculation (PBE) of a relaxed structure of Ag6Hg.

Results
Calculated density (Mg/m³): 9.974

The structure in extended XYZ format:
```
7
Lattice="4.483 0.000 0.000 0.000 4.483 0.000 0.000 0.000 7.024" Properties=species:S:1:pos:R:3 pbc="T T T"
Hg 0.000 0.000 0.000
Ag 0.000 2.241 1.893
Ag 2.241 2.241 0.000
Ag 0.000 0.000 3.512
Ag 2.241 0.000 1.893
Ag 0.000 2.241 5.131
Ag 2.241 0.000 5.131
```

| no. | ΔE_f (eV per atom) | V (Å³ per cell) |
| --- | --- | --- |
| 1 | 0.300 | 118 |
| 2 | 0.066 | 77 |
| 3 | 0.042 | 76 |
| 4 | 0.083 | 141 |
| 5 | 0.101 | 118 |
| 6 | 0.088 | 82 |
| 7 | 0.046 | 76 |
| 8 | 0.141 | 234 |
| 9 | 0.130 | 288 |
| 10 | 0.046 | 268 |
| 11 | 0.102 | 193 |
| 12 | 0.091 | 82 |
| 13 | 0.659 | 217 |
| 14 | 0.133 | 293 |
| 15 | 0.050 | 76 |
| 16 | 0.220 | 47 |
| 17 | 0.095 | 41 |
| 18 | 0.100 | 83 |
| 19 | 0.034 | 76 |
| 20 | 0.031 | 151 |
| 21 | 0.078 | 1079 |
| 22 | 0.071 | 122 |
| 23 | 0.039 | 166 |
| 24 | 0.170 | 141 |